No. 1
Mg7Sb6, relaxed, DFT PBE; SG = No. 166; formation energy (no corrections) = -71 meV/atom
1.0
3.0322 1.7506 10.1470
-3.0322 1.7506 10.1470
0.0000 -3.5012 10.1470
Mg Sb
7 6
direct
0.0000 0.0000 0.0000
0.0797 0.0797 0.5856
0.0797 0.5856 0.0797
0.4144 0.9203 0.9203
0.5856 0.0797 0.0797
0.9203 0.4144 0.9203
0.9203 0.9203 0.4144
0.1687 0.1687 0.1687
0.3301 0.3301 0.3301
0.4470 0.4470 0.4470
0.5530 0.5530 0.5530
0.6699 0.6699 0.6699
0.8313 0.8313 0.8313

---

No. 2
La2Nd3Cd, relaxed, DFT PBE; SG = No. 71; polymorph energy (0 for the lowest one) = 185 meV per atom; energy of formation = 0.183 eV per atom
1.0
5.9586 0.0000 0.0000
0.0000 6.5137 0.0000
0.0000 0.0000 10.3147
La Nd Cd
4 6 2
direct
0.0000 0.0000 0.1681
0.0000 0.0000 0.8319
0.5000 0.5000 0.3319
0.5000 0.5000 0.6681
0.0000 0.5000 0.1548
0.0000 0.5000 0.5000
0.0000 0.5000 0.8452
0.5000 0.0000 0.0000
0.5000 0.0000 0.3452
0.5000 0.0000 0.6548
0.0000 0.0000 0.5000
0.5000 0.5000 0.0000

---

No. 3
LaPm2SmDy5, relaxed, DFT PBE; SG = No. 140; energy of formation = 0.251 eV per atom
1.0
-4.3828 4.3828 7.8073
4.3828 -4.3828 7.8073
4.3828 4.3828 -7.8073
La Pm Sm Dy
2 4 2 10
direct
0.2500 0.2500 0.0000
0.7500 0.7500 0.0000
0.1172 0.6172 0.7344
0.3828 0.1172 0.5000
0.6172 0.8828 0.5000
0.8828 0.3828 0.2656
0.2500 0.7500 0.5000
0.7500 0.2500 0.5000
0.0000 0.0000 0.0000
0.0721 0.1566 0.5000
0.1566 0.6566 0.0845
0.3434 0.4279 0.5000
0.4279 0.9279 0.0845
0.5000 0.5000 0.0000
0.5721 0.0721 0.9155
0.6566 0.5721 0.5000
0.8434 0.3434 0.9155
0.9279 0.8434 0.5000

---

| no. | total magnetic moment (μB per cell) |
| --- | --- |
| 1 | 0.000 |
| 2 | 0.001 |
| 3 | 0.001 |